Record 1
Here is a relaxed structure of Mg5IrPd4 from Alexandria. Energies are from PBE-GGA.

Results
**Fermi-level density of states**: 4.2 states/eV/f.u.
**E_form**: -0.66 eV per atom
**DFT total energy**: -4.418 eV/atom
**ρ**: 7.728 Mg/m³
**Crystal system**: tetragonal

Unit cell a=3.2087 b=3.2087 c=15.4314 alpha=90.00 beta=90.00 gamma=90.00
Element x y z (fractional)
Mg (0.5000, 0.5000, 0.0951)
Mg (0.5000, 0.5000, 0.2988)
Mg (0.5000, 0.5000, 0.5000)
Mg (0.5000, 0.5000, 0.7012)
Mg (0.5000, 0.5000, 0.9049)
Ir (0.0000, 0.0000, 0.0000)
Pd (0.0000, 0.0000, 0.1994)
Pd (0.0000, 0.0000, 0.3997)
Pd (0.0000, 0.0000, 0.6003)
Pd (0.0000, 0.0000, 0.8006)



Record 2
Here is a relaxed structure of Mg6Ir2Pd from Alexandria. Energies are from PBE-GGA.

Results
**Fermi-level density of states**: 2.7 states/eV/f.u.
**E_form**: -0.40 eV per atom
**DFT total energy**: -4.010 eV/atom
**Excess energy over the best structure of this formula in the dataset**: 0.00 kcal/mol of atoms
**ρ**: 6.909 Mg/m³
**Crystal system**: trigonal

Unit cell a=4.5534 b=4.5529 c=8.5228 alpha=90.00 beta=90.00 gamma=120.00
Element x y z (fractional)
Mg (0.6667, 0.3334, 0.9323)
Mg (0.3333, 0.6666, 0.0677)
Mg (0.0000, 0.9999, 0.1996)
Mg (0.3333, 0.6666, 0.4072)
Mg (0.0000, 0.0001, 0.8004)
Mg (0.6667, 0.3334, 0.5928)
Ir (0.3334, 0.6668, 0.7462)
Ir (0.6666, 0.3332, 0.2538)
Pd (0.0000, 0.0000, 0.5000)



Record 3
Here is a relaxed structure of Mg4IrPd from Alexandria. Energies are from PBE-GGA.

Results
**Fermi-level density of states**: 2.5 states/eV/f.u.
**E_form**: -0.28 eV per atom
**DFT total energy**: -3.682 eV/atom
**Excess energy over the best structure of this formula in the dataset**: 0.44 kcal/mol of atoms
**ρ**: 6.008 Mg/m³
**Crystal system**: orthorhombic

Unit cell a=3.0591 b=7.4514 c=4.7999 alpha=90.00 beta=90.00 gamma=90.00
Element x y z (fractional)
Mg (0.5000, 0.7005, 0.0000)
Mg (0.5000, 0.2995, 0.0000)
Mg (0.0000, 0.1886, 0.5000)
Mg (0.0000, 0.8114, 0.5000)
Ir (0.0000, 0.0000, 0.0000)
Pd (0.5000, 0.5000, 0.5000)



Record 4
Here is a relaxed structure of Mg8Ir2Pd from Alexandria. Energies are from PBE-GGA.

Results
**Fermi-level density of states**: 4.9 states/eV/f.u.
**E_form**: -0.35 eV per atom
**DFT total energy**: -3.594 eV/atom
**ρ**: 5.661 Mg/m³
**Crystal system**: monoclinic

Unit cell a=4.5132 b=6.5005 c=7.7919 alpha=112.21 beta=106.83 gamma=90.00
Element x y z (fractional)
Mg (0.3735, 0.5677, 0.7470)
Mg (0.6645, 0.9125, 0.3290)
Mg (0.8225, 0.7704, 0.6450)
Mg (0.9823, 0.2622, 0.9646)
Mg (0.1775, 0.2296, 0.3550)
Mg (0.3355, 0.0875, 0.6710)
Mg (0.6265, 0.4323, 0.2530)
Mg (0.0177, 0.7378, 0.0354)
Ir (0.8134, 0.3318, 0.6269)
Ir (0.1866, 0.6682, 0.3731)
Pd (0.5000, 0.0000, 0.0000)



Record 5
Here is a relaxed structure of Mg6Ir2Pd from Alexandria. Energies are from PBE-GGA.

Results
**Fermi-level density of states**: 2.7 states/eV/f.u.
**E_form**: -0.24 eV per atom
**DFT total energy**: -3.851 eV/atom
**Excess energy over the best structure of this formula in the dataset**: 3.66 kcal/mol of atoms
**ρ**: 5.775 Mg/m³
**Crystal system**: monoclinic

Unit cell a=4.4252 b=6.2619 c=7.6323 alpha=114.22 beta=106.69 gamma=90.00
Element x y z (fractional)
Mg (0.1695, 0.4250, 0.3393)
Mg (0.8305, 0.0857, 0.6607)
Mg (0.8305, 0.5750, 0.6607)
Mg (0.5000, 0.2583, 0.0000)
Mg (0.1695, 0.9143, 0.3393)
Mg (0.5000, 0.7417, 0.0000)
Ir (0.6667, 0.6667, 0.3334)
Ir (0.3333, 0.3333, 0.6666)
Pd (0.0000, 0.0000, 0.0000)



Record 6
Here is a relaxed structure of Mg6IrPd2 from Alexandria. Energies are from PBE-GGA.

Results
**Fermi-level density of states**: 2.1 states/eV/f.u.
**E_form**: -0.34 eV per atom
**DFT total energy**: -3.546 eV/atom
**Excess energy over the best structure of this formula in the dataset**: 1.51 kcal/mol of atoms
**ρ**: 4.923 Mg/m³
**Crystal system**: monoclinic

Unit cell a=4.4244 b=6.3034 c=7.6890 alpha=114.20 beta=106.55 gamma=90.00
Element x y z (fractional)
Mg (0.1636, 0.4088, 0.3269)
Mg (0.8364, 0.0819, 0.6731)
Mg (0.8364, 0.5912, 0.6731)
Mg (0.5000, 0.2418, 0.0000)
Mg (0.1636, 0.9181, 0.3269)
Mg (0.5000, 0.7582, 0.0000)
Ir (0.0000, 0.0000, 0.0000)
Pd (0.6670, 0.6670, 0.3340)
Pd (0.3330, 0.3330, 0.6660)



Record 7
Here is a relaxed structure of Mg3IrPd from Alexandria. Energies are from PBE-GGA.

Results
**Fermi-level density of states**: 2.0 states/eV/f.u.
**E_form**: 0.17 eV per atom
**DFT total energy**: -3.599 eV/atom
**Excess energy over the best structure of this formula in the dataset**: 0.00 kcal/mol of atoms
**ρ**: 5.351 Mg/m³
**Crystal system**: cubic

Unit cell a=4.8672 b=4.8672 c=4.8672 alpha=90.00 beta=90.00 gamma=90.00
Element x y z (fractional)
Mg (0.0000, 0.5000, 0.0000)
Mg (0.0000, 0.0000, 0.5000)
Mg (0.5000, 0.0000, 0.0000)
Ir (0.0000, 0.0000, 0.0000)
Pd (0.5000, 0.5000, 0.5000)



Record 8
Here is a relaxed structure of Mg4IrPd3 from Alexandria. Energies are from PBE-GGA.

Results
**Fermi-level density of states**: 1.6 states/eV/f.u.
**E_form**: -0.64 eV per atom
**DFT total energy**: -4.492 eV/atom
**ρ**: 7.973 Mg/m³
**Crystal system**: tetragonal

Unit cell a=3.2062 b=3.2062 c=12.3320 alpha=90.00 beta=90.00 gamma=90.00
Element x y z (fractional)
Mg (0.0000, 0.0000, 0.8808)
Mg (0.0000, 0.0000, 0.1192)
Mg (0.0000, 0.0000, 0.3739)
Mg (0.0000, 0.0000, 0.6261)
Ir (0.5000, 0.5000, 0.0000)
Pd (0.5000, 0.5000, 0.2494)
Pd (0.5000, 0.5000, 0.5000)
Pd (0.5000, 0.5000, 0.7506)